Entry 1:
FeCoSi (GGA-PBE, optimized geometry); calculated volume = 77.14 Å³ per cell; D(E_F) = 2.21 states/eV/f.u.; formation energy from raw total energies = -0.106 eV per atom; crystal system = orthorhombic; space group = Pmm2
1.0
3.7594 0.0000 0.3789
0.0000 3.7870 0.0000
-0.5408 0.0000 5.3636
Co Si Fe
2 2 2
Direct
0.0929 0.0000 0.7007
0.0929 0.5000 0.4508
0.5929 0.0000 0.4546
0.0929 0.5000 0.9508
0.5929 0.0000 0.9543
0.5929 0.5000 0.2061


Entry 2:
FeCoSi (GGA-PBE, optimized geometry); calculated volume = 131.77 Å³ per cell; D(E_F) = 3.44 states/eV/f.u.; formation energy from raw total energies = -0.382 eV per atom; crystal system = orthorhombic; space group = Pnma
1.0
3.7827 0.0000 0.0000
0.0000 4.8775 0.0000
0.0000 0.0000 7.1419
Si Co Fe
4 4 4
Direct
0.2500 0.7046 0.3967
0.2500 0.2046 0.1033
0.7500 0.2954 0.6033
0.7500 0.7954 0.8967
0.2500 0.6813 0.0657
0.2500 0.1813 0.4343
0.7500 0.8187 0.5657
0.7500 0.3187 0.9343
0.7500 0.4554 0.2710
0.2500 0.0446 0.7710
0.7500 0.9554 0.2290
0.2500 0.5446 0.7290


Entry 3:
FeCoSi (GGA-PBE, optimized geometry); calculated volume = 34.04 Å³ per cell; D(E_F) = 1.97 states/eV/f.u.; formation energy from raw total energies = -0.288 eV per atom; crystal system = hexagonal; space group = P-6m2
1.0
-1.1384 -3.7017 0.2774
2.4974 1.0601 -2.7775
1.9945 -0.4931 1.6052
Co Fe Si
1 1 1
Direct
0.0000 0.0000 0.8329
0.6667 0.3333 0.3332
0.3333 0.6667 0.8339


Entry 4:
Fe3Co4Si (GGA-PBE, optimized geometry); calculated volume = 89.91 Å³ per cell; D(E_F) = 5.40 states/eV/f.u.; formation energy from raw total energies = -0.201 eV per atom; crystal system = tetragonal; space group = I4/mmm
1.0
-0.4569 -1.4597 -3.6375
3.8873 -0.6372 -0.2325
-2.4481 -4.2349 4.1472
Si Co Fe
1 4 3
Direct
0.5000 0.0000 0.0000
0.3788 0.3788 0.7576
0.6212 0.6212 0.2424
0.1212 0.1213 0.2424
0.8788 0.8787 0.7576
0.0000 0.5000 0.0000
0.7489 0.2489 0.4978
0.2511 0.7511 0.5022


Which of these has the lowest D(E_F)? number 3